<A>
SrFeAu2 | Alexandria | PBE-GGA | optimized geometry; magnetic moment = 3.0 μB per cell
1.0
-1.1832 -2.6667 -4.6957
4.2761 -2.7978 -2.1090
-2.3580 0.2941 4.9914
Au Sr Fe
2 1 1
Direct
0.2500 0.7500 0.5000
0.0000 0.0000 0.0000
0.7500 0.2500 0.5000
0.5000 0.5000 0.0000



<B>
SrFeAu2 | Alexandria | PBE-GGA | optimized geometry; magnetic moment = 3.1 μB per cell
1.0
-1.1171 2.9900 3.6144
-2.3378 -3.5463 2.2112
0.8138 -4.5042 3.9776
Au Sr Fe
2 1 1
Direct
0.0000 0.0000 0.0000
0.5000 0.5000 0.0000
0.0000 0.0000 0.5000
0.5000 0.5000 0.5000



<C>
SrFeAu2 | Alexandria | PBE-GGA | optimized geometry; magnetic moment = 3.2 μB per cell
1.0
4.8009 -1.3534 -0.3256
1.3010 -4.7787 0.6766
1.5678 -2.7366 -3.8781
Fe Sr Au
1 1 2
Direct
0.0000 0.0000 0.0000
0.5000 0.5000 0.5000
0.2500 0.2500 0.2500
0.7500 0.7500 0.7500



<C> (1.8 kJ/mol of atoms below the next structure)



<A>
SrFeAu2 | Alexandria | PBE-GGA | optimized geometry; magnetic moment = 3.1 μB per cell
1.0
-2.7434 3.4332 2.2089
-4.8614 0.1143 -0.7393
-3.0698 -1.2646 3.6290
Au Fe Sr
2 1 1
Direct
0.2500 0.2500 0.2500
0.0000 0.0000 0.0000
0.5000 0.5000 0.5000
0.7500 0.7500 0.7500



<B>
SrFeAu2 | Alexandria | PBE-GGA | optimized geometry; magnetic moment = 3.1 μB per cell
1.0
3.6471 0.0113 0.0000
-0.0119 3.6471 0.0000
0.0000 0.0000 6.7783
Fe Au Sr
1 2 1
Direct
0.0000 0.0000 0.4115
0.5000 0.5000 0.2984
0.0000 0.0000 0.0261
0.5000 0.5000 0.7640



<B> (10.0 kJ/mol of atoms below the next structure)



<A>
SrFeAu2 | Alexandria | PBE-GGA | optimized geometry; magnetic moment = 3.0 μB per cell
1.0
-3.3554 -1.3882 3.0695
2.4252 -2.9371 1.3227
1.9470 3.2082 3.5793
Au Fe Sr
2 1 1
Direct
0.0000 0.2497 0.9663
0.5000 0.2499 0.2840
0.0000 0.2503 0.4714
0.5000 0.7501 0.7783



<B>
SrFeAu2 | Alexandria | PBE-GGA | optimized geometry; magnetic moment = 2.9 μB per cell
1.0
-4.4562 -1.1571 3.9405
-2.2712 -4.9203 2.7123
-0.3854 -2.0774 5.6798
Fe Sr Au
1 1 2
Direct
0.5667 0.5667 0.5667
0.7562 0.7562 0.7562
0.9536 0.9536 0.9536
0.2235 0.2235 0.2235



<C>
SrFeAu2 | Alexandria | PBE-GGA | optimized geometry; magnetic moment = 5.9 μB per cell
1.0
5.1611 0.0000 0.0000
0.0000 5.1611 0.0000
2.5806 2.5806 8.4783
Au Sr Fe
4 2 2
Direct
0.3750 0.5382 0.7500
0.8750 0.7118 0.7500
0.2882 0.6250 0.2500
0.4618 0.1250 0.2500
0.7500 0.2500 0.5000
0.0000 0.0000 0.0000
0.2500 0.7500 0.5000
0.5000 0.5000 0.0000



<D>
SrFeAu2 | Alexandria | PBE-GGA | optimized geometry; magnetic moment = 2.9 μB per cell
1.0
4.5091 -0.0047 0.0156
2.2576 3.9032 0.0156
2.2376 1.2891 5.4276
Au Sr Fe
2 1 1
Direct
0.5480 0.5480 0.3558
0.9520 0.9520 0.1442
0.7500 0.7500 0.7500
0.2500 0.2500 0.2500



<D> (5.4 kJ/mol of atoms below the next structure)



<A>
SrFeAu3 | Alexandria | PBE-GGA | optimized geometry; magnetic moment = 2.9 μB per cell
1.0
-4.6609 1.4351 -0.8860
0.6483 -0.8793 -4.8348
-1.5569 -4.6622 0.6391
Au Fe Sr
3 1 1
Direct
0.0000 0.0000 0.5000
0.0000 0.5000 0.0000
0.5000 0.0000 0.0000
0.0000 0.0000 0.0000
0.5000 0.5000 0.5000



<B>
SrFeAu3 | Alexandria | PBE-GGA | optimized geometry; magnetic moment = 4.1 μB per cell
1.0
5.7012 0.0000 0.0000
0.0000 5.7012 0.0000
0.0000 0.0000 5.7012
Sr Au Fe
1 3 1
Direct
0.0000 0.0000 0.0000
0.0000 0.5000 0.0000
0.5000 0.0000 0.0000
0.0000 0.0000 0.5000
0.5000 0.5000 0.5000



<A> (123.6 kJ/mol of atoms below the next structure)



<A>
SrZrFeAu2 | Alexandria | PBE-GGA | optimized geometry; magnetic moment = 0.0 μB per cell
1.0
-2.3961 -4.0714 -2.3398
-1.7896 -1.7506 4.8787
-4.3693 2.8954 -0.5638
Fe Zr Sr Au
1 1 1 2
Direct
0.5000 0.5000 0.5000
0.0000 0.5000 0.0000
0.0000 0.0000 0.0000
0.0000 0.0000 0.5000
0.5000 0.0000 0.0000



<B>
SrZrFeAu2 | Alexandria | PBE-GGA | optimized geometry; magnetic moment = 3.2 μB per cell
1.0
-2.1581 -2.6081 3.9737
2.5187 -5.0799 -1.9662
4.2181 0.9606 2.9213
Sr Au Zr Fe
1 2 1 1
Direct
0.0000 0.5000 0.0000
0.0000 0.0000 0.5000
0.5000 0.0000 0.0000
0.0000 0.0000 0.0000
0.5000 0.5000 0.5000



<B> (87.9 kJ/mol of atoms below the next structure)



<A>
TaFe2Au | Alexandria | PBE-GGA | optimized geometry; magnetic moment = 0.0 μB per cell
1.0
3.8536 0.0000 0.0000
0.0000 3.8536 0.0000
1.9268 1.9268 8.6238
Au Ta Fe
2 2 4
Direct
0.7500 0.2500 0.5000
0.0000 0.0000 0.0000
0.5000 0.5000 0.0000
0.2500 0.7500 0.5000
0.1998 0.6250 0.2500
0.5502 0.1250 0.2500
0.3750 0.4498 0.7500
0.8750 0.8002 0.7500



<B>
TaFe2Au | Alexandria | PBE-GGA | optimized geometry; magnetic moment = 4.3 μB per cell
1.0
-3.7851 2.1437 1.5984
-4.5809 -0.4444 0.5439
-0.1927 -1.7649 4.4768
Ta Fe Au
1 2 1
Direct
0.2500 0.2500 0.2500
0.0018 0.0018 0.0128
0.4982 0.4982 0.4872
0.7500 0.7500 0.7500



<C>
TaFe2Au | Alexandria | PBE-GGA | optimized geometry; magnetic moment = 5.0 μB per cell
1.0
9.1453 -0.0202 -0.0118
8.7160 2.7694 -0.0118
8.7160 1.3415 2.4228
Fe Au Ta
2 1 1
Direct
0.4998 0.4998 0.4998
0.0002 0.0002 0.0002
0.7500 0.7500 0.7500
0.2500 0.2500 0.2500



<D>
TaFe2Au | Alexandria | PBE-GGA | optimized geometry; magnetic moment = 4.5 μB per cell
1.0
4.3854 0.0000 0.0000
0.0000 2.7179 -0.0308
0.0000 0.5521 5.1187
Au Fe Ta
1 2 1
Direct
0.5000 0.7500 0.7500
0.0000 0.9598 0.0278
0.0000 0.5402 0.4722
0.5000 0.2500 0.2500



<B> (1.7 kJ/mol of atoms below the next structure)



<A>
TaFe2Au | Alexandria | PBE-GGA | optimized geometry; magnetic moment = 5.0 μB per cell
1.0
8.7802 -0.0930 -0.0545
8.3414 2.7426 -0.0545
8.3414 1.2909 2.4205
Fe Ta Au
2 1 1
Direct
0.9926 0.9926 0.9926
0.2564 0.2564 0.2564
0.5061 0.5061 0.5061
0.7449 0.7449 0.7449



<B>
TaFe2Au | Alexandria | PBE-GGA | optimized geometry; magnetic moment = 3.2 μB per cell
1.0
-0.0494 2.3942 3.9752
3.6740 -1.4741 2.4219
-0.2395 1.5276 -4.3756
Fe Au Ta
2 1 1
Direct
0.0000 0.0000 0.0000
0.5000 0.5000 0.0000
0.2500 0.7500 0.5000
0.7500 0.2500 0.5000



<C>
TaFe2Au | Alexandria | PBE-GGA | optimized geometry; magnetic moment = 4.6 μB per cell
1.0
2.9305 0.0000 0.0000
0.0000 2.9309 0.1547
0.0000 2.5677 7.0236
Ta Au Fe
1 1 2
Direct
0.0000 0.5327 0.4675
0.5000 0.7254 0.7744
0.5000 0.2766 0.2235
0.0000 0.9653 0.0346



<D>
TaFe2Au | Alexandria | PBE-GGA | optimized geometry; magnetic moment = 3.7 μB per cell
1.0
-3.3958 -1.3116 2.3864
-3.6032 2.4353 0.1809
-3.6432 -1.3549 -1.9591
Fe Ta Au
2 1 1
Direct
0.7500 0.7500 0.7500
0.2500 0.2500 0.2500
0.0000 0.0000 0.0000
0.5000 0.5000 0.5000



<C> (3.1 kJ/mol of atoms below the next structure)



<A>
TaFe2Au | Alexandria | PBE-GGA | optimized geometry; magnetic moment = 2.0 μB per cell
1.0
3.5684 0.0000 0.0000
0.0000 3.9746 0.0000
0.0000 0.0000 3.9746
Fe Au Ta
2 1 1
Direct
0.0000 0.5000 0.5000
0.0000 0.0000 0.0000
0.5000 0.0000 0.5000
0.5000 0.5000 0.0000



<B>
TaFe2Au | Alexandria | PBE-GGA | optimized geometry; magnetic moment = 4.7 μB per cell
1.0
2.7337 0.0083 0.0000
-0.6171 2.6631 0.0000
0.0000 0.0000 8.3204
Fe Au Ta
2 1 1
Direct
0.0000 0.0000 0.4969
0.0000 0.0000 0.0031
0.5000 0.5000 0.7500
0.5000 0.5000 0.2500



<C>
TaFe2Au | Alexandria | PBE-GGA | optimized geometry; magnetic moment = 4.5 μB per cell
1.0
-2.9387 -3.0451 -1.2079
1.1933 -4.2279 -0.2613
-1.5053 -2.8977 2.9504
Fe Ta Au
2 1 1
Direct
0.7500 0.7500 0.7500
0.0000 0.0000 0.0000
0.2500 0.2500 0.2500
0.5000 0.5000 0.5000



<D>
TaFe2Au | Alexandria | PBE-GGA | optimized geometry; magnetic moment = 4.9 μB per cell
1.0
-0.0694 -1.7661 2.0673
0.1335 -2.0677 -1.7620
8.1740 0.1700 0.4197
Ta Au Fe
1 1 2
Direct
0.5000 0.5000 0.2500
0.5000 0.5000 0.7500
0.0000 0.0000 0.9980
0.0000 0.0000 0.5020



<A> (12.6 kJ/mol of atoms below the next structure)